(1)
Below is a relaxed structure of RbCd2Sn2, with properties calculated at the PBE level.

## Properties
* relative energy among the computed polymorphs: 0.129 eV/atom

Cell: 9.422 9.422 3.326 Å, 90.00 90.00 90.00°
Fractional coordinates of all 10 atoms:
Sn (0.361, 0.861, 0.000)
Sn (0.861, 0.639, 0.000)
Sn (0.639, 0.139, 0.000)
Sn (0.139, 0.361, 0.000)
Rb (0.000, 0.000, 0.000)
Rb (0.500, 0.500, 0.000)
Cd (0.152, 0.652, 0.500)
Cd (0.652, 0.848, 0.500)
Cd (0.848, 0.348, 0.500)
Cd (0.348, 0.152, 0.500)



(2)
Below is a relaxed structure of Rb3Cd6Sn5, with properties calculated at the PBE level.

Cell: 4.804 13.092 14.243 Å, 90.00 90.00 90.00°
Fractional coordinates of all 28 atoms:
Rb (0.000, 0.257, 0.647)
Rb (0.500, 0.743, 0.147)
Rb (0.500, 0.743, 0.853)
Rb (0.000, 0.247, 0.000)
Rb (0.500, 0.753, 0.500)
Rb (0.000, 0.257, 0.353)
Cd (0.000, 0.010, 0.829)
Cd (0.500, 0.990, 0.671)
Cd (0.500, 0.370, 0.810)
Cd (0.500, 0.489, 0.000)
Cd (0.000, 0.511, 0.500)
Cd (0.000, 0.630, 0.690)
Cd (0.000, 0.630, 0.310)
Cd (0.500, 0.017, 0.000)
Cd (0.000, 0.010, 0.171)
Cd (0.500, 0.370, 0.190)
Cd (0.000, 0.983, 0.500)
Cd (0.500, 0.990, 0.329)
Sn (0.000, 0.502, 0.865)
Sn (0.000, 0.856, 0.675)
Sn (0.000, 0.885, 0.000)
Sn (0.500, 0.498, 0.635)
Sn (0.500, 0.115, 0.500)
Sn (0.000, 0.502, 0.135)
Sn (0.500, 0.498, 0.365)
Sn (0.000, 0.856, 0.325)
Sn (0.500, 0.144, 0.825)
Sn (0.500, 0.144, 0.175)



(3)
Below is a relaxed structure of Rb3CdSn, with properties calculated at the PBE level.

## Properties
* relative energy among the computed polymorphs: 0.170 eV/atom

Cell: 7.182 7.182 7.182 Å, 90.00 90.00 90.00°
Each line ends with the local moment (μB).
Fractional coordinates of all 5 atoms:
Sn (0.000, 0.000, 0.000)  0.39
Rb (0.000, 0.500, 0.000)  0.01
Rb (0.000, 0.000, 0.500)  0.03
Rb (0.500, 0.000, 0.000)  0.01
Cd (0.500, 0.500, 0.500)  -0.01



(4)
Below is a relaxed structure of RbCdSn2, with properties calculated at the PBE level.

Cell: 4.850 4.850 7.659 Å, 71.54 71.54 60.00°
Fractional coordinates of all 4 atoms:
Sn (0.286, 0.286, 0.141)
Sn (0.714, 0.714, 0.859)
Rb (0.500, 0.500, 0.500)
Cd (0.000, 0.000, 0.000)



(5)
Below is a relaxed structure of Rb2Cd2Sn, with properties calculated at the PBE level.

## Properties
* relative energy among the computed polymorphs: 0.043 eV/atom

Cell: 7.191 7.191 8.311 Å, 90.00 90.00 103.69°
Fractional coordinates of all 10 atoms:
Rb (0.811, 0.189, 0.000)
Rb (0.189, 0.811, 0.500)
Rb (0.189, 0.811, 0.000)
Rb (0.811, 0.189, 0.500)
Cd (0.359, 0.359, 0.414)
Cd (0.641, 0.641, 0.914)
Cd (0.359, 0.359, 0.086)
Cd (0.641, 0.641, 0.586)
Sn (0.283, 0.283, 0.750)
Sn (0.717, 0.717, 0.250)



(6)
Below is a relaxed structure of RbCdSn6, with properties calculated at the PBE level.

Cell: 4.868 4.868 11.095 Å, 90.00 90.00 90.00°
Fractional coordinates of all 8 atoms:
Rb (0.000, 0.000, 0.000)
Cd (0.000, 0.000, 0.500)
Sn (0.500, 0.000, 0.673)
Sn (0.000, 0.500, 0.673)
Sn (0.500, 0.500, 0.156)
Sn (0.500, 0.500, 0.844)
Sn (0.000, 0.500, 0.327)
Sn (0.500, 0.000, 0.327)



(7)
Below is a relaxed structure of Rb2CdSn7, with properties calculated at the PBE level.

Cell: 5.197 5.197 12.690 Å, 90.00 90.00 90.00°
Fractional coordinates of all 10 atoms:
Rb (0.500, 0.000, 0.755)
Rb (0.000, 0.500, 0.245)
Cd (0.500, 0.500, 0.000)
Sn (0.000, 0.500, 0.875)
Sn (0.500, 0.000, 0.371)
Sn (0.500, 0.000, 0.125)
Sn (0.000, 0.500, 0.629)
Sn (0.000, 0.000, 0.500)
Sn (0.000, 0.000, 0.000)
Sn (0.500, 0.500, 0.500)



(8)
Below is a relaxed structure of Rb3Cd5Sn2, with properties calculated at the PBE level.

Cell: 8.502 10.369 10.369 Å, 61.51 65.80 65.80°
Fractional coordinates of all 20 atoms:
Rb (0.250, 0.000, 0.000)
Rb (0.750, 0.000, 0.000)
Rb (0.377, 0.371, 0.875)
Rb (0.623, 0.629, 0.125)
Rb (0.877, 0.875, 0.371)
Rb (0.123, 0.125, 0.629)
Cd (0.250, 0.500, 0.500)
Cd (0.750, 0.500, 0.500)
Cd (0.508, 0.742, 0.742)
Cd (0.992, 0.258, 0.258)
Cd (0.492, 0.258, 0.258)
Cd (0.008, 0.742, 0.742)
Cd (0.123, 0.485, 0.270)
Cd (0.877, 0.515, 0.730)
Cd (0.623, 0.270, 0.485)
Cd (0.377, 0.730, 0.515)
Sn (0.164, 0.708, 0.964)
Sn (0.836, 0.292, 0.036)
Sn (0.664, 0.964, 0.708)
Sn (0.336, 0.036, 0.292)



Number 1: calculated volume 29.53 Å³ per atom, DFT formation energy -0.028 eV/atom, calculated total energy -21.884 eV for the cell shown. Number 2: calculated volume 31.99 Å³ per atom, DFT formation energy -0.091 eV/atom, calculated total energy -59.369 eV for the cell shown. Number 3: calculated volume 74.08 Å³ per atom, DFT formation energy 0.148 eV/atom, calculated total energy -7.079 eV for the cell shown. Number 4: calculated volume 36.31 Å³ per atom, DFT formation energy -0.058 eV/atom, calculated total energy -10.121 eV for the cell shown. Number 5: calculated volume 41.75 Å³ per atom, DFT formation energy -0.087 eV/atom, calculated total energy -16.406 eV for the cell shown. Number 6: calculated volume 32.86 Å³ per atom, DFT formation energy -0.045 eV/atom, calculated total energy -26.260 eV for the cell shown. Number 7: calculated volume 34.28 Å³ per atom, DFT formation energy -0.134 eV/atom, calculated total energy -32.214 eV for the cell shown. Number 8: calculated volume 35.30 Å³ per atom, DFT formation energy -0.047 eV/atom, calculated total energy -31.900 eV for the cell shown.